The following is a GGA-PBE calculation of HgIrW after structural relaxation, from Alexandria.

Computed properties:
E_form in meV per atom: 309.6
Calculated total energy in eV/cell: -21.19

Geometry as CIF:
```
data_HgIrW
_chemical_formula_sum 'Hg1 Ir1 W1'
_space_group_name_H-M_alt 'P 3 m 1'
_space_group_IT_number 156
_cell_length_a 2.8778
_cell_length_b 2.8778
_cell_length_c 7.1704
_cell_angle_alpha 90.00
_cell_angle_beta 90.00
_cell_angle_gamma 120.00
loop_
_space_group_symop_operation_xyz
'x,y,z'
'-y,x-y,z'
'-x+y,-x,z'
'-y,-x,z'
'-x+y,y,z'
'x,x-y,z'
loop_
_atom_site_label
_atom_site_type_symbol
_atom_site_fract_x
_atom_site_fract_y
_atom_site_fract_z
Hg1 Hg 0.0000 0.0000 0.0000
Ir1 Ir 0.6667 0.3333 0.3549
W1 W 0.3333 0.6667 0.6429
```

---

The following is a GGA-PBE calculation of Pm2YTh3 after structural relaxation, from Alexandria.

Computed properties:
E_form in meV per atom: 192.5
Calculated total energy in eV/cell: -148.28

Geometry as CIF:
```
data_Pm2YTh3
_chemical_formula_sum 'Pm8 Y4 Th12'
_space_group_name_H-M_alt 'C m c m'
_space_group_IT_number 63
_space_group_name_Hall '-C 2c 2'
_cell_length_a 10.3040
_cell_length_b 11.4267
_cell_length_c 6.7806
_cell_angle_alpha 90.00
_cell_angle_beta 90.00
_cell_angle_gamma 90.00
loop_
_atom_site_label
_atom_site_type_symbol
_atom_site_fract_x
_atom_site_fract_y
_atom_site_fract_z
Pm1 Pm 0.1665 0.2296 0.2500
Y1 Y 0.0000 0.2698 0.7500
Th1 Th 0.0000 0.0000 0.0000
Th2 Th 0.1667 0.5000 0.0000
```

---

The following is a GGA-PBE calculation of Hf2NpMn after structural relaxation, from Alexandria.

Computed properties:
E_form in meV per atom: 147.9
Calculated total energy in eV/cell: -41.43

Geometry as CIF:
```
data_Hf2NpMn
_chemical_formula_sum 'Hf2 Np1 Mn1'
_space_group_name_H-M_alt 'P 4/m m m'
_space_group_IT_number 123
_space_group_name_Hall '-P 4 2'
_cell_length_a 3.1320
_cell_length_b 3.1320
_cell_length_c 7.8759
_cell_angle_alpha 90.00
_cell_angle_beta 90.00
_cell_angle_gamma 90.00
loop_
_atom_site_label
_atom_site_type_symbol
_atom_site_fract_x
_atom_site_fract_y
_atom_site_fract_z
Hf1 Hf 0.0000 0.0000 0.1973
Np1 Np 0.5000 0.5000 0.5000
Mn1 Mn 0.5000 0.5000 0.0000
```

---

> What is the E_form in the second record?

192.5 meV per atom

---

Repeat the first record exactly.
The following is a GGA-PBE calculation of HgIrW after structural relaxation, from Alexandria.

Computed properties:
E_form in meV per atom: 309.6
Calculated total energy in eV/cell: -21.19

Geometry as CIF:
```
data_HgIrW
_chemical_formula_sum 'Hg1 Ir1 W1'
_space_group_name_H-M_alt 'P 3 m 1'
_space_group_IT_number 156
_cell_length_a 2.8778
_cell_length_b 2.8778
_cell_length_c 7.1704
_cell_angle_alpha 90.00
_cell_angle_beta 90.00
_cell_angle_gamma 120.00
loop_
_space_group_symop_operation_xyz
'x,y,z'
'-y,x-y,z'
'-x+y,-x,z'
'-y,-x,z'
'-x+y,y,z'
'x,x-y,z'
loop_
_atom_site_label
_atom_site_type_symbol
_atom_site_fract_x
_atom_site_fract_y
_atom_site_fract_z
Hg1 Hg 0.0000 0.0000 0.0000
Ir1 Ir 0.6667 0.3333 0.3549
W1 W 0.3333 0.6667 0.6429
```